The following is a PBE calculation of an optimized crystal structure of AlRu3, from Alexandria.

Computed properties:
DFT formation energy   0.151 eV per atom

a = 5.1820 Å, b = 5.1820 Å, c = 4.4760 Å
α = 90.00°, β = 90.00°, γ = 88.50°
Fractional positions:
Al (0.0845, 0.9155, 0.7500)
Al (0.9155, 0.0845, 0.2500)
Ru (0.0690, 0.5937, 0.2500)
Ru (0.4063, 0.9310, 0.2500)
Ru (0.4263, 0.5737, 0.7500)
Ru (0.5737, 0.4263, 0.2500)
Ru (0.5937, 0.0690, 0.7500)
Ru (0.9310, 0.4063, 0.7500)


The following is a PBE calculation of an optimized crystal structure of YSc2W, from Alexandria.

Computed properties:
DFT formation energy   0.323 eV per atom
Energy above the lowest structure with this stoichiometry   57 meV per atom

a = 3.0876 Å, b = 4.7211 Å, c = 6.3382 Å
α = 90.00°, β = 103.75°, γ = 90.00°
Fractional positions:
Y (0.0000, 0.0000, 0.0000)
Sc (0.3967, 0.5000, 0.7155)
Sc (0.6033, 0.5000, 0.2845)
W (0.0000, 0.0000, 0.5000)


The following is a PBE calculation of an optimized crystal structure of SrLiPdF2, from Alexandria.

Computed properties:
Uncorrected formation energy   -824 meV/atom

a = 4.6965 Å, b = 4.6965 Å, c = 5.2878 Å
α = 90.00°, β = 90.00°, γ = 90.00°
Fractional positions:
Sr (0.0000, 0.0000, 0.0000)
Li (0.5000, 0.5000, 0.0000)
Pd (0.0000, 0.0000, 0.5000)
F (0.0000, 0.5000, 0.5000)
F (0.5000, 0.0000, 0.5000)


The following is a PBE calculation of an optimized crystal structure of BeIn, from Alexandria.

Computed properties:
DFT formation energy   0.329 eV per atom
Energy above the lowest structure with this stoichiometry   43 meV per atom

a = 3.7703 Å, b = 3.7703 Å, c = 6.5501 Å
α = 114.07°, β = 114.07°, γ = 61.44°
Fractional positions:
Be (0.1704, 0.1704, 0.9997)
Be (0.8296, 0.8296, 0.0003)
In (0.3643, 0.3643, 0.7156)
In (0.6357, 0.6357, 0.2844)


The following is a PBE calculation of an optimized crystal structure of La2CeHoS4, from Alexandria.

Computed properties:
Uncorrected formation energy   -2087 meV/atom

a = 7.0232 Å, b = 4.0330 Å, c = 7.0530 Å
α = 90.00°, β = 109.21°, γ = 90.00°
Fractional positions:
La (0.0000, 0.0000, 0.0000)
La (0.5000, 0.5000, 0.0000)
Ce (0.0000, 0.5000, 0.5000)
Ho (0.5000, 0.0000, 0.5000)
S (0.2518, 0.0000, 0.7363)
S (0.2622, 0.5000, 0.2681)
S (0.7378, 0.5000, 0.7319)
S (0.7482, 0.0000, 0.2637)


The following is a PBE calculation of an optimized crystal structure of TbErCrCd, from Alexandria.

Computed properties:
DFT formation energy   0.030 eV per atom

a = 5.1700 Å, b = 5.1700 Å, c = 5.1700 Å
α = 60.00°, β = 60.00°, γ = 60.00°
Fractional positions:
Tb (0.0000, 0.0000, 0.0000)
Er (0.5000, 0.5000, 0.5000)
Cr (0.7500, 0.7500, 0.7500)
Cd (0.2500, 0.2500, 0.2500)


The following is a PBE calculation of an optimized crystal structure of Dy6Ho2Tm3, from Alexandria.

Computed properties:
DFT formation energy   0.021 eV per atom
Energy above the lowest structure with this stoichiometry   0 meV per atom

a = 31.6282 Å, b = 31.6282 Å, c = 31.6282 Å
α = 6.39°, β = 6.39°, γ = 6.39°
Fractional positions:
Dy (0.0906, 0.0906, 0.0906)
Dy (0.1819, 0.1819, 0.1819)
Dy (0.3635, 0.3635, 0.3635)
Dy (0.6365, 0.6365, 0.6365)
Dy (0.8181, 0.8181, 0.8181)
Dy (0.9094, 0.9094, 0.9094)
Ho (0.4543, 0.4543, 0.4543)
Ho (0.5457, 0.5457, 0.5457)
Tm (0.0000, 0.0000, 0.0000)
Tm (0.2729, 0.2729, 0.2729)
Tm (0.7271, 0.7271, 0.7271)


The following is a PBE calculation of an optimized crystal structure of Hf2Zr3PaN6, from Alexandria.

Computed properties:
Uncorrected formation energy   -1693 meV/atom

a = 5.7193 Å, b = 5.7193 Å, c = 5.6764 Å
α = 99.63°, β = 99.63°, γ = 119.96°
Fractional positions:
Hf (0.1673, 0.8327, 0.0000)
Hf (0.8327, 0.1673, 0.0000)
Zr (0.0000, 0.0000, 0.5000)
Zr (0.3294, 0.6706, 0.5000)
Zr (0.6706, 0.3294, 0.5000)
Pa (0.5000, 0.5000, 0.0000)
N (0.0771, 0.4193, 0.7573)
N (0.2386, 0.2386, 0.2410)
N (0.4193, 0.0771, 0.7573)
N (0.5807, 0.9229, 0.2427)
N (0.7614, 0.7614, 0.7590)
N (0.9229, 0.5807, 0.2427)


The following is a PBE calculation of an optimized crystal structure of Tb4Dy2Cd, from Alexandria.

Computed properties:
DFT formation energy   0.037 eV per atom

a = 8.4268 Å, b = 8.4268 Å, c = 8.4800 Å
α = 116.65°, β = 116.65°, γ = 23.91°
Fractional positions:
Tb (0.0811, 0.0811, 0.2024)
Tb (0.3691, 0.3691, 0.1069)
Tb (0.6309, 0.6309, 0.8931)
Tb (0.9189, 0.9189, 0.7976)
Dy (0.2179, 0.2179, 0.6405)
Dy (0.7821, 0.7821, 0.3595)
Cd (0.0000, 0.0000, 0.5000)


The following is a PBE calculation of an optimized crystal structure of Th6As2PtS3, from Alexandria.

Computed properties:
Uncorrected formation energy   -1554 meV/atom

a = 9.2655 Å, b = 9.2655 Å, c = 8.3613 Å
α = 101.62°, β = 101.62°, γ = 25.72°
Fractional positions:
Th (0.0013, 0.0013, 0.2534)
Th (0.3319, 0.3319, 0.4254)
Th (0.3368, 0.3368, 0.9106)
Th (0.6632, 0.6632, 0.0894)
Th (0.6681, 0.6681, 0.5746)
Th (0.9987, 0.9987, 0.7466)
As (0.1681, 0.1681, 0.8339)
As (0.8319, 0.8319, 0.1661)
Pt (0.5000, 0.5000, 0.5000)
S (0.1668, 0.1668, 0.3318)
S (0.5000, 0.5000, 0.0000)
S (0.8332, 0.8332, 0.6682)


The following is a PBE calculation of an optimized crystal structure of LaTb3Sm4Te8, from Alexandria.

Computed properties:
Uncorrected formation energy   -1375 meV/atom

a = 8.8767 Å, b = 8.8767 Å, c = 8.8767 Å
α = 59.96°, β = 59.96°, γ = 59.96°
Fractional positions:
La (0.0000, 0.0000, 0.0000)
Tb (0.0000, 0.5000, 0.5000)
Tb (0.5000, 0.0000, 0.5000)
Tb (0.5000, 0.5000, 0.0000)
Sm (0.0000, 0.0000, 0.5000)
Sm (0.0000, 0.5000, 0.0000)
Sm (0.5000, 0.0000, 0.0000)
Sm (0.5000, 0.5000, 0.5000)
Te (0.2521, 0.2521, 0.2521)
Te (0.2530, 0.2530, 0.7427)
Te (0.2530, 0.7427, 0.2530)
Te (0.2573, 0.7470, 0.7470)
Te (0.7427, 0.2530, 0.2530)
Te (0.7470, 0.2573, 0.7470)
Te (0.7470, 0.7470, 0.2573)
Te (0.7479, 0.7479, 0.7479)


The following is a PBE calculation of an optimized crystal structure of HfNpCdO6, from Alexandria.

Computed properties:
Uncorrected formation energy   -2596 meV/atom

a = 5.5885 Å, b = 5.5885 Å, c = 9.5141 Å
α = 90.00°, β = 90.00°, γ = 120.00°
Fractional positions:
Hf (0.3333, 0.6667, 0.2500)
Hf (0.6667, 0.3333, 0.7500)
Np (0.3333, 0.6667, 0.7500)
Np (0.6667, 0.3333, 0.2500)
Cd (0.0000, 0.0000, 0.0000)
Cd (0.0000, 0.0000, 0.5000)
O (0.0021, 0.3605, 0.6380)
O (0.0021, 0.6417, 0.8620)
O (0.3583, 0.3605, 0.8620)
O (0.3583, 0.9979, 0.6380)
O (0.3605, 0.0021, 0.1380)
O (0.3605, 0.3583, 0.3620)
O (0.6395, 0.6417, 0.6380)
O (0.6395, 0.9979, 0.8620)
O (0.6417, 0.0021, 0.3620)
O (0.6417, 0.6395, 0.1380)
O (0.9979, 0.3583, 0.1380)
O (0.9979, 0.6395, 0.3620)


| no. | total DFT energy (no corrections) (eV/cell) |
| --- | --- |
| 1 | -61.9 |
| 2 | -30.8 |
| 3 | -16.6 |
| 4 | -11.6 |
| 5 | -53.6 |
| 6 | -19.6 |
| 7 | -49.9 |
| 8 | -125.3 |
| 9 | -28.4 |
| 10 | -90.9 |
| 11 | -84.8 |
| 12 | -153.8 |